The following is a DFT calculation (PBE) of a relaxed structure of NdNbN2O.

Lattice parameters (Å, degrees): 5.557 5.635 6.031 62.16 63.87 60.53
Fractional coordinates of all 10 atoms:
N (0.188, 0.577, 0.246)
N (0.555, 0.985, 0.278)
N (0.817, 0.441, 0.725)
N (0.007, 0.824, 0.732)
Nb (0.871, 0.818, 0.439)
Nb (0.144, 0.141, 0.561)
Nd (0.645, 0.631, 0.108)
Nd (0.377, 0.368, 0.891)
O (0.981, 0.193, 0.263)
O (0.415, 0.022, 0.757)

ρ in g/cm³: 6.68
Electronic total energy in eV per atom: -8.94
Space group: P1, No. 1

The following is a DFT calculation (PBE) of a relaxed structure of NdNbN2O.

Lattice parameters (Å, degrees): 8.019 8.114 11.282 90.00 134.41 90.00
Fractional coordinates of all 40 atoms:
N (0.809, 0.540, 0.000)
N (0.476, 0.755, 0.198)
N (0.701, 0.465, 0.202)
N (0.017, 0.252, 0.218)
N (0.983, 0.752, 0.282)
N (0.299, 0.965, 0.298)
N (0.524, 0.255, 0.302)
N (0.191, 0.040, 0.500)
N (0.809, 0.960, 0.500)
N (0.476, 0.745, 0.698)
N (0.701, 0.035, 0.702)
N (0.017, 0.248, 0.718)
N (0.983, 0.748, 0.782)
N (0.299, 0.535, 0.798)
N (0.524, 0.245, 0.802)
N (0.191, 0.460, 0.000)
Nb (0.981, 0.487, 0.235)
Nb (0.488, 0.489, 0.236)
Nb (0.512, 0.989, 0.264)
Nb (0.019, 0.987, 0.265)
Nb (0.981, 0.013, 0.735)
Nb (0.488, 0.011, 0.736)
Nb (0.512, 0.511, 0.764)
Nb (0.019, 0.513, 0.765)
Nd (0.547, 0.756, 0.023)
Nd (0.045, 0.757, 0.024)
Nd (0.955, 0.257, 0.476)
Nd (0.453, 0.256, 0.477)
Nd (0.547, 0.744, 0.523)
Nd (0.045, 0.743, 0.524)
Nd (0.955, 0.243, 0.976)
Nd (0.453, 0.244, 0.977)
O (0.795, 0.951, 0.001)
O (0.693, 0.047, 0.192)
O (0.307, 0.547, 0.308)
O (0.205, 0.451, 0.499)
O (0.795, 0.549, 0.501)
O (0.693, 0.453, 0.692)
O (0.307, 0.953, 0.808)
O (0.205, 0.049, 0.999)

ρ in g/cm³: 7.12
Electronic total energy in eV per atom: -9.03
Space group: P2_1/c, No. 14

The following is a DFT calculation (PBE) of a relaxed structure of NdNbN2O.

Lattice parameters (Å, degrees): 5.756 5.756 14.233 90.00 90.00 120.00
Fractional coordinates of all 30 atoms:
N (0.160, 0.319, 0.090)
N (0.160, 0.840, 0.090)
N (0.681, 0.840, 0.090)
N (0.160, 0.319, 0.410)
N (0.160, 0.840, 0.410)
N (0.681, 0.840, 0.410)
N (0.319, 0.160, 0.590)
N (0.840, 0.160, 0.590)
N (0.840, 0.681, 0.590)
N (0.319, 0.160, 0.910)
N (0.840, 0.160, 0.910)
N (0.840, 0.681, 0.910)
Nb (0.000, 0.000, 0.000)
Nb (0.333, 0.667, 0.145)
Nb (0.333, 0.667, 0.355)
Nb (0.000, 0.000, 0.500)
Nb (0.667, 0.333, 0.645)
Nb (0.667, 0.333, 0.855)
Nd (0.667, 0.333, 0.117)
Nd (0.000, 0.000, 0.250)
Nd (0.667, 0.333, 0.383)
Nd (0.333, 0.667, 0.617)
Nd (0.000, 0.000, 0.750)
Nd (0.333, 0.667, 0.883)
O (0.506, 0.011, 0.250)
O (0.506, 0.494, 0.250)
O (0.989, 0.494, 0.250)
O (0.011, 0.506, 0.750)
O (0.494, 0.506, 0.750)
O (0.494, 0.989, 0.750)

ρ in g/cm³: 6.86
Electronic total energy in eV per atom: -8.86
Space group: P6_3/mmc, No. 194

The following is a DFT calculation (PBE) of a relaxed structure of NdNbN2O.

Lattice parameters (Å, degrees): 8.025 8.026 8.175 89.06 89.94 89.88
Fractional coordinates of all 40 atoms:
N (0.550, 0.292, 0.029)
N (0.051, 0.719, 0.032)
N (0.951, 0.282, 0.033)
N (0.447, 0.706, 0.033)
N (0.752, 0.788, 0.231)
N (0.454, 0.000, 0.240)
N (0.252, 0.310, 0.245)
N (0.954, 0.500, 0.319)
N (0.461, 0.218, 0.529)
N (0.043, 0.203, 0.529)
N (0.960, 0.795, 0.532)
N (0.540, 0.779, 0.534)
N (0.047, 0.500, 0.739)
N (0.749, 0.691, 0.811)
N (0.547, 0.001, 0.819)
N (0.247, 0.211, 0.828)
Nb (0.488, 0.251, 0.259)
Nb (0.505, 0.761, 0.260)
Nb (0.995, 0.745, 0.263)
Nb (0.002, 0.264, 0.264)
Nb (0.010, 0.251, 0.758)
Nb (0.994, 0.743, 0.763)
Nb (0.486, 0.236, 0.767)
Nb (0.515, 0.757, 0.772)
Nd (0.248, 0.968, 0.009)
Nd (0.750, 0.034, 0.039)
Nd (0.749, 0.515, 0.050)
Nd (0.250, 0.978, 0.499)
Nd (0.253, 0.474, 0.511)
Nd (0.748, 0.526, 0.538)
Nd (0.749, 0.019, 0.545)
Nd (0.249, 0.483, 0.991)
O (0.067, 0.997, 0.245)
O (0.756, 0.180, 0.308)
O (0.563, 0.497, 0.317)
O (0.253, 0.714, 0.345)
O (0.749, 0.289, 0.719)
O (0.434, 0.501, 0.744)
O (0.245, 0.819, 0.750)
O (0.938, 0.003, 0.818)

ρ in g/cm³: 7.09
Electronic total energy in eV per atom: -9.04
Space group: P1, No. 1

The following is a DFT calculation (PBE) of a relaxed structure of NdNbN2O.

Lattice parameters (Å, degrees): 8.012 5.668 5.780 90.00 90.00 90.00
Fractional coordinates of all 20 atoms:
N (0.000, 0.822, 0.012)
N (0.292, 0.952, 0.298)
N (0.708, 0.952, 0.298)
N (0.500, 0.339, 0.467)
N (0.000, 0.178, 0.512)
N (0.292, 0.048, 0.798)
N (0.708, 0.048, 0.798)
N (0.500, 0.661, 0.967)
Nb (0.256, 0.765, 0.021)
Nb (0.744, 0.765, 0.021)
Nb (0.256, 0.235, 0.521)
Nb (0.744, 0.235, 0.521)
Nd (0.500, 0.254, 0.055)
Nd (0.000, 0.752, 0.467)
Nd (0.500, 0.746, 0.555)
Nd (0.000, 0.248, 0.967)
O (0.210, 0.446, 0.181)
O (0.790, 0.446, 0.181)
O (0.210, 0.554, 0.681)
O (0.790, 0.554, 0.681)

ρ in g/cm³: 7.12
Electronic total energy in eV per atom: -9.03
Space group: Pmc2_1, No. 26

The following is a DFT calculation (PBE) of a relaxed structure of NdNbN2O.

Lattice parameters (Å, degrees): 3.772 6.216 5.851 90.00 90.00 90.00
Fractional coordinates of all 10 atoms:
N (0.500, 0.589, 0.075)
N (0.000, 0.219, 0.283)
N (0.500, 0.411, 0.575)
N (0.000, 0.781, 0.783)
Nb (0.500, 0.318, 0.227)
Nb (0.500, 0.682, 0.727)
Nd (0.000, 0.837, 0.193)
Nd (0.000, 0.163, 0.693)
O (0.500, 0.913, 0.472)
O (0.500, 0.087, 0.972)

ρ in g/cm³: 6.81
Electronic total energy in eV per atom: -9.04
Space group: Pmc2_1, No. 26

The following is a DFT calculation (PBE) of a relaxed structure of NdNbN2O.

Lattice parameters (Å, degrees): 4.094 4.094 3.979 90.00 90.00 90.00
Fractional coordinates of all 5 atoms:
N (0.500, 0.000, 0.500)
N (0.000, 0.500, 0.500)
Nb (0.000, 0.000, 0.500)
Nd (0.500, 0.500, 0.000)
O (0.000, 0.000, 0.000)

ρ in g/cm³: 7.00
Electronic total energy in eV per atom: -8.83
Space group: P4/mmm, No. 123

The following is a DFT calculation (PBE) of a relaxed structure of NdNbN2O.

Lattice parameters (Å, degrees): 7.979 8.165 11.229 90.00 134.60 90.00
Fractional coordinates of all 40 atoms:
N (0.562, 0.734, 0.002)
N (0.439, 0.744, 0.191)
N (0.199, 0.997, 0.217)
N (0.225, 0.497, 0.246)
N (0.775, 0.997, 0.254)
N (0.801, 0.497, 0.283)
N (0.561, 0.244, 0.309)
N (0.438, 0.234, 0.498)
N (0.562, 0.766, 0.502)
N (0.439, 0.756, 0.691)
N (0.199, 0.503, 0.717)
N (0.225, 0.003, 0.746)
N (0.775, 0.503, 0.754)
N (0.801, 0.003, 0.783)
N (0.561, 0.256, 0.809)
N (0.438, 0.266, 0.998)
Nb (0.738, 0.754, 0.241)
Nb (0.738, 0.257, 0.246)
Nb (0.262, 0.757, 0.254)
Nb (0.262, 0.254, 0.259)
Nb (0.738, 0.746, 0.741)
Nb (0.738, 0.243, 0.746)
Nb (0.262, 0.743, 0.754)
Nb (0.262, 0.246, 0.759)
Nd (0.246, 0.005, 0.000)
Nd (0.767, 0.495, 0.010)
Nd (0.233, 0.995, 0.490)
Nd (0.754, 0.505, 0.500)
Nd (0.246, 0.495, 0.500)
Nd (0.767, 0.005, 0.510)
Nd (0.233, 0.505, 0.990)
Nd (0.754, 0.995, 0.000)
O (0.923, 0.739, 0.003)
O (0.920, 0.245, 0.168)
O (0.080, 0.745, 0.332)
O (0.077, 0.239, 0.497)
O (0.923, 0.761, 0.503)
O (0.920, 0.255, 0.668)
O (0.080, 0.755, 0.832)
O (0.077, 0.261, 0.997)

ρ in g/cm³: 7.17
Electronic total energy in eV per atom: -9.03
Space group: P2_1/c, No. 14

The following is a DFT calculation (PBE) of a relaxed structure of Pr2NdNb2N6.

Lattice parameters (Å, degrees): 10.293 10.293 10.293 157.21 157.21 32.45
Fractional coordinates of all 11 atoms:
N (0.300, 0.300, 0.000)
N (0.700, 0.700, 0.000)
N (0.583, 0.083, 0.500)
N (0.917, 0.417, 0.500)
N (0.083, 0.583, 0.500)
N (0.417, 0.917, 0.500)
Nb (0.399, 0.399, 0.000)
Nb (0.601, 0.601, 0.000)
Nd (0.000, 0.000, 0.000)
Pr (0.179, 0.179, 0.000)
Pr (0.821, 0.821, 0.000)

ρ in g/cm³: 7.07
Electronic total energy in eV per atom: -8.90
Space group: I4/mmm, No. 139

The following is a DFT calculation (PBE) of a relaxed structure of Nd3Nb2Re3N12.

Lattice parameters (Å, degrees): 11.251 11.251 11.251 109.47 109.47 109.47
Fractional coordinates of all 80 atoms:
N (0.313, 0.900, 0.015)
N (0.202, 0.115, 0.015)
N (0.885, 0.400, 0.086)
N (0.702, 0.687, 0.086)
N (0.615, 0.414, 0.100)
N (0.985, 0.687, 0.100)
N (0.015, 0.202, 0.115)
N (0.600, 0.914, 0.115)
N (0.202, 0.586, 0.187)
N (0.485, 0.600, 0.187)
N (0.586, 0.187, 0.202)
N (0.115, 0.015, 0.202)
N (0.485, 0.385, 0.298)
N (0.313, 0.914, 0.298)
N (0.900, 0.015, 0.313)
N (0.914, 0.298, 0.313)
N (0.298, 0.485, 0.385)
N (0.586, 0.900, 0.385)
N (0.813, 0.515, 0.400)
N (0.086, 0.885, 0.400)
N (0.100, 0.615, 0.414)
N (0.813, 0.798, 0.414)
N (0.600, 0.187, 0.485)
N (0.385, 0.298, 0.485)
N (0.615, 0.702, 0.515)
N (0.400, 0.813, 0.515)
N (0.187, 0.202, 0.586)
N (0.900, 0.385, 0.586)
N (0.914, 0.115, 0.600)
N (0.187, 0.485, 0.600)
N (0.414, 0.100, 0.615)
N (0.702, 0.515, 0.615)
N (0.086, 0.702, 0.687)
N (0.100, 0.985, 0.687)
N (0.687, 0.086, 0.702)
N (0.515, 0.615, 0.702)
N (0.414, 0.813, 0.798)
N (0.885, 0.985, 0.798)
N (0.515, 0.400, 0.813)
N (0.798, 0.414, 0.813)
N (0.400, 0.086, 0.885)
N (0.985, 0.798, 0.885)
N (0.015, 0.313, 0.900)
N (0.385, 0.586, 0.900)
N (0.298, 0.313, 0.914)
N (0.115, 0.600, 0.914)
N (0.687, 0.100, 0.985)
N (0.798, 0.885, 0.985)
Nb (0.000, 0.000, 0.000)
Nb (0.500, 0.000, 0.000)
Nb (0.000, 0.500, 0.000)
Nb (0.500, 0.500, 0.000)
Nb (0.000, 0.000, 0.500)
Nb (0.500, 0.000, 0.500)
Nb (0.000, 0.500, 0.500)
Nb (0.500, 0.500, 0.500)
Nd (0.250, 0.375, 0.125)
Nd (0.375, 0.750, 0.125)
Nd (0.375, 0.125, 0.250)
Nd (0.875, 0.625, 0.250)
Nd (0.750, 0.125, 0.375)
Nd (0.125, 0.250, 0.375)
Nd (0.875, 0.750, 0.625)
Nd (0.250, 0.875, 0.625)
Nd (0.125, 0.375, 0.750)
Nd (0.625, 0.875, 0.750)
Nd (0.625, 0.250, 0.875)
Nd (0.750, 0.625, 0.875)
Re (0.875, 0.250, 0.125)
Re (0.750, 0.875, 0.125)
Re (0.625, 0.375, 0.250)
Re (0.125, 0.875, 0.250)
Re (0.250, 0.625, 0.375)
Re (0.625, 0.750, 0.375)
Re (0.375, 0.250, 0.625)
Re (0.750, 0.375, 0.625)
Re (0.875, 0.125, 0.750)
Re (0.375, 0.625, 0.750)
Re (0.250, 0.125, 0.875)
Re (0.125, 0.750, 0.875)

ρ in g/cm³: 8.15
Electronic total energy in eV per atom: -9.29
Space group: Ia-3d, No. 230

The following is a DFT calculation (PBE) of a relaxed structure of Nd3Nb3Re2N12.

Lattice parameters (Å, degrees): 11.250 11.250 11.250 109.47 109.47 109.47
Site moments in Bohr magnetons follow the coordinates.
Fractional coordinates of all 80 atoms:
N (0.193, 0.113, 0.018)  0.00
N (0.325, 0.905, 0.018)  0.00
N (0.887, 0.405, 0.080)  0.00
N (0.693, 0.675, 0.080)  0.00
N (0.613, 0.420, 0.095)  0.00
N (0.982, 0.675, 0.095)  0.00
N (0.018, 0.193, 0.113)  0.00
N (0.595, 0.920, 0.113)  0.00
N (0.193, 0.580, 0.175)  0.00
N (0.482, 0.595, 0.175)  0.00
N (0.580, 0.175, 0.193)  0.00
N (0.113, 0.018, 0.193)  0.00
N (0.482, 0.387, 0.307)  0.00
N (0.325, 0.920, 0.307)  0.00
N (0.905, 0.018, 0.325)  0.00
N (0.920, 0.307, 0.325)  0.00
N (0.307, 0.482, 0.387)  0.00
N (0.580, 0.905, 0.387)  0.00
N (0.825, 0.518, 0.405)  0.00
N (0.080, 0.887, 0.405)  0.00
N (0.095, 0.613, 0.420)  0.00
N (0.825, 0.807, 0.420)  0.00
N (0.595, 0.175, 0.482)  0.00
N (0.387, 0.307, 0.482)  0.00
N (0.613, 0.693, 0.518)  0.00
N (0.405, 0.825, 0.518)  0.00
N (0.175, 0.193, 0.580)  0.00
N (0.905, 0.387, 0.580)  0.00
N (0.920, 0.113, 0.595)  0.00
N (0.175, 0.482, 0.595)  0.00
N (0.420, 0.095, 0.613)  0.00
N (0.693, 0.518, 0.613)  0.00
N (0.080, 0.693, 0.675)  0.00
N (0.095, 0.982, 0.675)  0.00
N (0.675, 0.080, 0.693)  0.00
N (0.518, 0.613, 0.693)  0.00
N (0.420, 0.825, 0.807)  0.00
N (0.887, 0.982, 0.807)  0.00
N (0.518, 0.405, 0.825)  0.00
N (0.807, 0.420, 0.825)  0.00
N (0.405, 0.080, 0.887)  0.00
N (0.982, 0.807, 0.887)  0.00
N (0.018, 0.325, 0.905)  0.00
N (0.387, 0.580, 0.905)  0.00
N (0.307, 0.325, 0.920)  0.00
N (0.113, 0.595, 0.920)  0.00
N (0.675, 0.095, 0.982)  0.00
N (0.807, 0.887, 0.982)  0.00
Nb (0.875, 0.250, 0.125)  0.04
Nb (0.750, 0.875, 0.125)  0.04
Nb (0.625, 0.375, 0.250)  0.04
Nb (0.125, 0.875, 0.250)  0.04
Nb (0.250, 0.625, 0.375)  0.04
Nb (0.625, 0.750, 0.375)  0.04
Nb (0.375, 0.250, 0.625)  0.04
Nb (0.750, 0.375, 0.625)  0.04
Nb (0.875, 0.125, 0.750)  0.04
Nb (0.375, 0.625, 0.750)  0.04
Nb (0.250, 0.125, 0.875)  0.04
Nb (0.125, 0.750, 0.875)  0.04
Nd (0.375, 0.750, 0.125)  0.00
Nd (0.250, 0.375, 0.125)  0.00
Nd (0.375, 0.125, 0.250)  0.00
Nd (0.875, 0.625, 0.250)  0.00
Nd (0.750, 0.125, 0.375)  0.00
Nd (0.125, 0.250, 0.375)  0.00
Nd (0.875, 0.750, 0.625)  0.00
Nd (0.250, 0.875, 0.625)  0.00
Nd (0.125, 0.375, 0.750)  0.00
Nd (0.625, 0.875, 0.750)  0.00
Nd (0.625, 0.250, 0.875)  0.00
Nd (0.750, 0.625, 0.875)  0.00
Re (0.000, 0.000, 0.000)  0.18
Re (0.500, 0.000, 0.000)  0.14
Re (0.000, 0.500, 0.000)  0.17
Re (0.500, 0.500, 0.000)  0.17
Re (0.000, 0.000, 0.500)  0.15
Re (0.500, 0.000, 0.500)  0.15
Re (0.000, 0.500, 0.500)  0.16
Re (0.500, 0.500, 0.500)  0.16

ρ in g/cm³: 7.59
Electronic total energy in eV per atom: -9.15
Space group: Ia-3d, No. 230